# Ho12Al5In2 PBE relaxed
data_Ho12Al5In2
_cell_length_a 8.6558
_cell_length_b 8.6558
_cell_length_c 9.5628
_cell_angle_alpha 91.74
_cell_angle_beta 91.74
_cell_angle_gamma 49.78
_space_group_name_H-M_alt 'P 1'
_space_group_IT_number 1
_space_group_name_Hall 'P 1'
loop_
_atom_site_label
_atom_site_type_symbol
_atom_site_fract_x
_atom_site_fract_y
_atom_site_fract_z
_atom_site_occupancy
Ho1 Ho 0.0294 0.0294 0.3122 1
Ho2 Ho 0.0800 0.5525 0.8635 1
Ho3 Ho 0.0892 0.6201 0.4398 1
Ho4 Ho 0.3799 0.9108 0.5602 1
Ho5 Ho 0.4132 0.4132 0.1776 1
Ho6 Ho 0.4475 0.9200 0.1365 1
Ho7 Ho 0.5525 0.0800 0.8635 1
Ho8 Ho 0.5868 0.5868 0.8224 1
Ho9 Ho 0.6201 0.0892 0.4398 1
Ho10 Ho 0.9108 0.3799 0.5602 1
Ho11 Ho 0.9200 0.4475 0.1365 1
Ho12 Ho 0.9706 0.9706 0.6878 1
Al1 Al 0.1464 0.1464 0.8557 1
Al2 Al 0.2253 0.2253 0.3465 1
Al3 Al 0.5000 0.5000 0.5000 1
Al4 Al 0.7747 0.7747 0.6535 1
Al5 Al 0.8536 0.8536 0.1443 1
In1 In 0.1992 0.8008 0.0000 1
In2 In 0.8008 0.1992 0.0000 1
# - VASP energy: -80.31 eV for the cell shown
# - SG: No. 12
# - Calculated density: 7.12 g/cm³
# - Formation enthalpy at 0 K: -0.063 eV/atom